Record 1
# PBE+U KInCoO3, optimized geometry
data_KInCoO3
_cell_length_a 3.373
_cell_length_b 9.158
_cell_length_c 6.557
_cell_angle_alpha 106.62
_cell_angle_beta 90.00
_cell_angle_gamma 90.00
_space_group_name_H-M_alt 'P 1'
_space_group_IT_number 1
loop_
_space_group_symop_operation_xyz
'x,y,z'
loop_
_atom_site_label
_atom_site_fract_x
_atom_site_fract_y
_atom_site_fract_z
K1 0.250 0.310 0.352
K2 0.750 0.690 0.648
In1 0.250 0.651 0.122
In2 0.750 0.349 0.878
Co1 0.250 0.069 0.659
Co2 0.750 0.931 0.341
O1 0.750 0.788 0.064
O2 0.250 0.212 0.936
O3 0.250 0.856 0.458
O4 0.750 0.144 0.542
O5 0.750 0.516 0.204
O6 0.250 0.484 0.796
# E ... -5.29 eV/atom
# Space-group type ... P2_1/m (11)



Record 2
# PBE+U K2InCoO4, optimized geometry
data_K2InCoO4
_cell_length_a 5.478
_cell_length_b 6.764
_cell_length_c 10.591
_cell_angle_alpha 83.99
_cell_angle_beta 75.01
_cell_angle_gamma 66.11
_space_group_name_H-M_alt 'P 1'
_space_group_IT_number 1
loop_
_space_group_symop_operation_xyz
'x,y,z'
loop_
_atom_site_label
_atom_site_fract_x
_atom_site_fract_y
_atom_site_fract_z
K1 0.188 0.000 0.624
K2 0.812 0.000 0.376
K3 0.562 0.500 0.876
K4 0.938 0.500 0.124
In1 0.750 0.500 0.500
In2 0.000 0.000 0.000
Co1 0.250 0.500 0.500
Co2 0.500 0.000 0.000
O1 0.331 0.808 0.080
O2 0.219 0.192 0.920
O3 0.862 0.808 0.920
O4 0.589 0.192 0.080
O5 0.419 0.692 0.420
O6 0.531 0.308 0.580
O7 0.888 0.692 0.580
O8 0.161 0.308 0.420
# E ... -4.87 eV/atom
# Space-group type ... Fddd (70)



Record 3
# PBE+U K3In2CoO6, optimized geometry
data_K3In2CoO6
_cell_length_a 5.683
_cell_length_b 5.683
_cell_length_c 6.412
_cell_angle_alpha 98.71
_cell_angle_beta 98.71
_cell_angle_gamma 119.53
_space_group_name_H-M_alt 'P 1'
_space_group_IT_number 1
loop_
_space_group_symop_operation_xyz
'x,y,z'
loop_
_atom_site_label
_atom_site_fract_x
_atom_site_fract_y
_atom_site_fract_z
K1 0.166 0.834 0.500
K2 0.834 0.166 0.500
K3 0.500 0.500 0.500
In1 0.335 0.665 0.000
In2 0.665 0.335 0.000
Co1 0.000 0.000 0.000
O1 0.941 0.628 0.821
O2 0.740 0.740 0.187
O3 0.059 0.372 0.179
O4 0.628 0.941 0.821
O5 0.260 0.260 0.813
O6 0.372 0.059 0.179
# E ... -5.01 eV/atom
# Space-group type ... C2/m (12)



Record 4
# PBE+U K3In3CoO8, optimized geometry
data_K3In3CoO8
_cell_length_a 6.482
_cell_length_b 6.483
_cell_length_c 7.274
_cell_angle_alpha 116.47
_cell_angle_beta 90.00
_cell_angle_gamma 119.99
_space_group_name_H-M_alt 'P 1'
_space_group_IT_number 1
loop_
_space_group_symop_operation_xyz
'x,y,z'
loop_
_atom_site_label
_atom_site_fract_x
_atom_site_fract_y
_atom_site_fract_z
K1 0.000 0.000 0.000
K2 0.000 0.500 0.000
K3 0.500 0.500 0.000
In1 0.500 0.000 0.500
In2 0.500 0.500 0.500
In3 0.000 0.500 0.500
Co1 0.000 0.000 0.500
O1 0.272 0.544 0.316
O2 0.728 0.456 0.684
O3 0.795 0.590 0.331
O4 0.205 0.410 0.669
O5 0.795 0.036 0.331
O6 0.205 0.964 0.669
O7 0.241 0.036 0.331
O8 0.759 0.964 0.669
# E ... -5.15 eV/atom
# Space-group type ... R-3m (166)